1.
! FeSiC (PBE, relaxed); values from VASP
&SYSTEM
  ibrav = 0, nat = 3, ntyp = 3
/
ATOMIC_SPECIES
Si 28.09 Si.upf
C 12.01 C.upf
Fe 55.84 Fe.upf
ATOMIC_POSITIONS crystal
Si 0.017 0.000 0.706
C 0.220 0.000 0.111
Fe 0.370 0.500 0.398
CELL_PARAMETERS angstrom
-2.546 0.468 0.925
-0.885 0.041 -2.455
0.454 -4.723 -0.243
! ΔE_f (raw): 1.156 eV/f.u.
! Final energy: -21.95 eV per cell
! Energy above the lowest structure with this stoichiometry: 157 meV/atom

2.
! FeSiC (PBE, relaxed); values from VASP
&SYSTEM
  ibrav = 0, nat = 3, ntyp = 3
/
ATOMIC_SPECIES
Si 28.09 Si.upf
Fe 55.84 Fe.upf
C 12.01 C.upf
ATOMIC_POSITIONS crystal
Si 0.540 0.365 0.095
Fe 0.012 0.993 0.524
C 0.294 0.006 0.944
CELL_PARAMETERS angstrom
-2.058 0.330 -2.091
-2.942 -0.980 0.657
-1.960 3.548 0.417
! ΔE_f (raw): 0.988 eV/f.u.
! Final energy: -22.12 eV per cell
! Energy above the lowest structure with this stoichiometry: 101 meV/atom